(1)
{"formula": "AlIn2Se", "functional": "PBE", "state": "optimized geometry", "spacegroup": "Cmm2 (35)", "raw_formation_energy_kj_per_mol_fu": -36, "m_tot_mub_per_atom": 0.00, "e_tot_ev_per_atom": -3.2699, "e_above_lowest_polymorph_mev_per_atom": 45, "lattice": [[3.501, 0.063, 0.000], [-0.050, 3.502, 0.000], [0.000, 0.000, 7.833]], "species": ["Al", "Se", "In", "In"], "fractional_positions": [[0.500, 0.500, 0.703], [0.000, 0.000, 0.564], [0.500, 0.500, 0.261], [0.000, 0.000, 0.971]]}



(2)
{"formula": "Al2InSe2", "functional": "PBE", "state": "optimized geometry", "spacegroup": "I4/mmm (139)", "raw_formation_energy_kj_per_mol_fu": -59, "m_tot_mub_per_atom": 0.00, "e_tot_ev_per_atom": -3.5617, "lattice": [[4.897, 0.000, 0.000], [0.000, 4.897, 0.000], [2.448, 2.448, 5.345]], "species": ["Al", "Al", "Se", "Se", "In"], "fractional_positions": [[0.750, 0.250, 0.500], [0.250, 0.750, 0.500], [0.338, 0.338, 0.323], [0.662, 0.662, 0.677], [0.000, 0.000, 0.000]]}



(3)
{"formula": "AlIn2Se", "functional": "PBE", "state": "optimized geometry", "spacegroup": "I-42d (122)", "raw_formation_energy_kj_per_mol_fu": -2, "m_tot_mub_per_atom": 0.00, "e_tot_ev_per_atom": -3.1822, "e_above_lowest_polymorph_mev_per_atom": 133, "lattice": [[-2.572, 0.225, -5.943], [5.249, -2.959, -2.384], [-1.318, -6.839, -3.220]], "species": ["In", "In", "Se", "Se", "In", "In", "Al", "Al"], "fractional_positions": [[0.875, 0.868, 0.750], [0.132, 0.625, 0.250], [0.750, 0.250, 0.500], [0.000, 0.000, 0.000], [0.375, 0.382, 0.750], [0.618, 0.125, 0.250], [0.250, 0.750, 0.500], [0.500, 0.500, 0.000]]}



(4)
{"formula": "AlInSe2", "functional": "PBE", "state": "optimized geometry", "spacegroup": "C2/m (12)", "raw_formation_energy_kj_per_mol_fu": -230, "m_tot_mub_per_atom": 0.00, "e_tot_ev_per_atom": -3.9577, "lattice": [[7.919, 0.000, 1.510], [1.452, 1.886, -2.931], [-1.452, 1.886, 2.931]], "species": ["Se", "Se", "Al", "In"], "fractional_positions": [[0.318, 0.227, 0.773], [0.682, 0.773, 0.227], [0.500, 0.500, 0.500], [0.000, 0.000, 0.000]]}